SiNiSe2 | the Alexandria database | PBE | relaxed; ΔE_f (raw) = 0.24 eV/atom
1.0
4.008 -0.656 0.000
-2.125 3.460 0.000
0.000 0.000 6.940
Ni Se Si
1 2 1
Cartesian
0.941 1.402 5.205
0.000 0.000 6.867
0.000 0.000 3.543
0.941 1.402 1.735


SiNiSe2 | the Alexandria database | PBE | relaxed; ΔE_f (raw) = 0.36 eV/atom
1.0
3.498 0.000 0.000
0.000 6.861 0.000
0.000 0.000 3.493
Ni Se Si
1 2 1
Cartesian
0.000 3.430 1.746
0.000 0.000 0.000
1.749 3.430 0.000
1.749 0.000 1.746


Si2NiSe | the Alexandria database | PBE | relaxed; ΔE_f (raw) = 0.23 eV/atom
1.0
-2.507 0.442 -0.998
-1.056 -0.345 2.498
0.863 8.314 1.514
Ni Se Si
1 1 2
Cartesian
0.387 3.729 0.679
-1.178 5.868 1.810
0.058 0.561 0.102
-1.537 2.411 1.180


Si2NiSe | the Alexandria database | PBE | relaxed; ΔE_f (raw) = 0.35 eV/atom
1.0
-0.715 -2.283 2.587
2.866 1.089 1.753
-2.738 3.481 2.314
Ni Se Si
1 1 2
Cartesian
-1.727 0.599 2.451
0.064 2.285 2.033
0.000 0.000 0.000
1.075 -0.597 2.170


SiNiSe2 | the Alexandria database | PBE | relaxed; ΔE_f (raw) = -0.10 eV/atom
1.0
-4.647 -0.581 -2.841
2.898 -0.774 -4.583
-0.789 -6.091 -2.744
Ni Si Se
2 2 4
Cartesian
0.000 0.000 0.000
-3.155 -3.675 -4.648
-0.874 -0.677 -3.712
0.618 -3.771 -5.520
-2.815 -1.992 -3.081
1.109 -2.069 -3.859
-1.294 -5.063 -4.768
-2.075 -5.766 -8.628


SiNiSe2 | the Alexandria database | PBE | relaxed; ΔE_f (raw) = -0.18 eV/atom
1.0
4.229 -0.007 0.031
2.716 3.242 0.031
-0.357 -0.166 6.524
Ni Se Si
1 2 1
Cartesian
1.374 0.640 2.740
0.328 0.153 0.665
4.807 2.239 4.198
3.373 1.571 2.278


Si2NiSe | the Alexandria database | PBE | relaxed; ΔE_f (raw) = 0.38 eV/atom
1.0
4.481 0.043 0.000
-1.326 4.280 0.000
0.000 0.000 3.124
Ni Se Si
1 1 2
Cartesian
2.241 0.021 1.562
-0.663 2.140 1.562
0.000 0.000 0.000
1.577 2.161 0.000


SiNiSe2 | the Alexandria database | PBE | relaxed; ΔE_f (raw) = -0.07 eV/atom
1.0
3.653 0.007 0.005
1.824 3.165 0.005
1.829 1.059 5.896
Ni Se Si
1 2 1
Cartesian
1.827 1.058 1.476
5.471 3.169 0.097
3.659 2.119 2.865
5.480 3.174 4.429


Si2NiSe | the Alexandria database | PBE | relaxed; ΔE_f (raw) = 0.07 eV/atom
1.0
4.273 0.000 0.000
0.000 3.855 0.018
0.000 0.843 3.763
Ni Se Si
1 1 2
Cartesian
2.137 1.175 0.945
2.137 3.524 2.835
0.000 0.232 0.187
0.000 2.118 1.703


SiNiSe2 | the Alexandria database | PBE | relaxed; ΔE_f (raw) = 0.08 eV/atom
1.0
-7.015 -1.696 2.239
-5.203 -4.786 2.668
-5.017 -2.220 5.196
Ni Si Se
1 1 2
Cartesian
0.000 0.000 0.000
-8.617 -4.350 5.051
-15.475 -7.812 9.071
-1.760 -0.889 1.032


SiNiSe2 | the Alexandria database | PBE | relaxed; ΔE_f (raw) = 0.01 eV/atom
1.0
3.357 0.000 0.000
0.000 3.357 0.000
0.000 0.000 6.666
Ni Se Si
1 2 1
Cartesian
1.679 1.679 4.776
0.000 0.000 5.904
1.679 1.679 2.434
0.000 0.000 3.552


Si2NiSe | the Alexandria database | PBE | relaxed; ΔE_f (raw) = 0.04 eV/atom
1.0
-1.767 1.354 2.919
-0.276 -3.089 1.266
4.950 0.663 2.688
Ni Se Si
1 1 2
Cartesian
1.712 -1.678 1.815
2.302 -0.805 4.075
0.347 -0.334 0.365
0.883 0.532 2.596


Si2NiSe | the Alexandria database | PBE | relaxed; ΔE_f (raw) = 0.03 eV/atom
1.0
-4.148 4.964 -1.318
-5.655 2.220 -2.583
-5.885 2.904 0.715
Ni Se Si
1 1 2
Cartesian
-3.922 2.522 -0.796
-11.766 7.567 -2.389
-15.504 9.971 -3.148
-8.027 5.162 -1.630


Si2NiSe4 | the Alexandria database | PBE | relaxed; ΔE_f (raw) = -0.15 eV/atom
1.0
-2.827 -1.229 -6.160
0.559 -0.657 -6.835
0.679 -6.112 -1.769
Si Ni Se
2 1 4
Cartesian
-0.098 -4.906 -4.647
-1.492 -3.092 -10.117
0.000 0.000 0.000
0.073 -3.489 -2.588
-1.663 -4.509 -12.175
-0.189 -6.718 -6.639
-1.401 -1.280 -8.125


SiNiSe2 | the Alexandria database | PBE | relaxed; ΔE_f (raw) = -0.09 eV/atom
1.0
7.509 -0.022 -0.013
6.727 3.337 -0.013
6.727 1.567 2.947
Ni Se Si
1 2 1
Cartesian
15.758 3.670 2.196
0.620 0.144 0.086
4.751 1.107 0.662
10.314 2.402 1.437


Si4NiSe | the Alexandria database | PBE | relaxed; ΔE_f (raw) = 0.64 eV/atom
1.0
0.000 3.605 3.605
3.605 0.000 3.605
3.605 3.605 0.000
Si Ni Se
4 1 1
Cartesian
2.708 4.502 4.502
4.502 4.502 2.708
4.502 2.708 4.502
2.708 2.708 2.708
5.408 5.408 5.408
0.000 0.000 0.000


SiNiSe2 | the Alexandria database | PBE | relaxed; ΔE_f (raw) = 0.15 eV/atom
1.0
-1.871 -1.283 1.647
-1.033 -1.358 -2.225
6.088 -7.011 1.454
Ni Se Si
1 2 1
Cartesian
2.912 -6.347 0.754
5.530 -6.369 1.321
0.409 -3.463 0.156
3.464 -3.990 0.827


Si2NiSe | the Alexandria database | PBE | relaxed; ΔE_f (raw) = 0.44 eV/atom
1.0
-2.442 -1.109 -3.576
3.738 -0.500 -2.398
0.134 -2.943 0.822
Ni Se Si
1 1 2
Cartesian
-1.154 -2.026 -1.377
1.936 -1.721 -0.788
0.000 0.000 0.000
0.648 -0.804 -2.987


Si2NiSe | the Alexandria database | PBE | relaxed; ΔE_f (raw) = 0.27 eV/atom
1.0
-2.286 2.581 4.368
-5.245 1.816 -0.399
3.809 -4.054 0.154
Ni Se Si
1 1 2
Cartesian
-3.918 2.287 2.065
-2.974 0.198 1.067
-7.256 4.236 3.824
-0.869 0.216 3.121


Si2NiSe | the Alexandria database | PBE | relaxed; ΔE_f (raw) = 0.45 eV/atom
1.0
4.536 0.047 0.000
0.658 4.488 0.000
-2.597 -2.267 2.948
Ni Se Si
1 1 2
Cartesian
2.597 2.267 0.000
2.268 0.023 1.474
0.000 0.000 0.000
0.329 2.244 1.474